Below is crystalline Cs2CrFeF6 at its relaxed geometry, with properties calculated at the PBE with a Hubbard U level.

a b c (Å): 10.894 10.894 10.894
angles (deg): 33.77 33.77 33.77
Sites, in units of the cell vectors:
Cs 0.126 0.126 0.126
Cs 0.285 0.285 0.285
Cs 0.715 0.715 0.715
Cs 0.874 0.874 0.874
Cr 0.000 0.000 0.000
Cr 0.500 0.500 0.500
Fe 0.405 0.405 0.405
Fe 0.595 0.595 0.595
F 0.175 0.601 0.601
F 0.202 0.202 0.714
F 0.202 0.714 0.202
F 0.286 0.798 0.798
F 0.399 0.399 0.825
F 0.399 0.825 0.399
F 0.601 0.175 0.601
F 0.601 0.601 0.175
F 0.714 0.202 0.202
F 0.798 0.286 0.798
F 0.798 0.798 0.286
F 0.825 0.399 0.399

Values from the calculation:
Its spin magnetization is 7.9 μB per cell. As for the total DFT energy (no corrections): -5.069 eV per atom. For the energy above the most stable polymorph in this dataset, the calculation gives 0.0445 eV per atom.